1.
## LiNpURu (GGA-PBE)

Data for a relaxed structure of LiNpURu.

Computed properties:
symmetry: No. 216
formation enthalpy at 0 K: -2 kJ/mol of formula units

a b c (Å): 4.562 4.562 4.562
angles (deg): 60.00 60.00 60.00
Each line ends with the local moment (μB).
Sites, in units of the cell vectors:
U  0.750  0.750  0.750  1.25
Np  0.000  0.000  0.000  2.91
Ru  0.500  0.500  0.500  -0.17
Li  0.250  0.250  0.250  -0.03

---

2.
## LiNp4S6 (GGA-PBE)

Data for a relaxed structure of LiNp4S6.

Computed properties:
symmetry: No. 167
final energy: -0.31253 Ha/atom

a b c (Å): 7.592 7.592 7.592
angles (deg): 89.23 89.23 90.77
Each line ends with the local moment (μB).
Sites, in units of the cell vectors:
S  0.940  0.081  0.688  -0.10
S  0.919  0.688  0.940  -0.10
S  0.440  0.812  0.419  -0.10
S  0.419  0.560  0.812  -0.10
S  0.812  0.581  0.560  -0.10
S  0.060  0.919  0.312  -0.10
S  0.581  0.440  0.188  -0.10
S  0.560  0.188  0.581  -0.10
S  0.081  0.312  0.060  -0.10
S  0.188  0.419  0.440  -0.10
S  0.688  0.060  0.081  -0.10
S  0.312  0.940  0.919  -0.10
Np  0.366  0.134  0.250  4.04
Np  0.134  0.750  0.634  4.04
Np  0.750  0.366  0.866  4.04
Np  0.866  0.250  0.366  4.04
Np  0.250  0.250  0.750  3.94
Np  0.250  0.634  0.134  4.04
Np  0.634  0.866  0.750  4.04
Np  0.750  0.750  0.250  3.94
Li  0.000  0.000  0.000  0.00
Li  0.500  0.500  0.500  0.00

---

3.
## LiNp2S4 (GGA-PBE)

Data for a relaxed structure of LiNp2S4.

Computed properties:
symmetry: No. 55
energy relative to the lowest polymorph listed for this composition: 22 meV/atom

a b c (Å): 4.045 6.820 10.543
angles (deg): 90.00 90.00 90.00
Each line ends with the local moment (μB).
Sites, in units of the cell vectors:
S  0.500  0.238  0.946  -0.14
S  0.000  0.617  0.788  -0.13
S  0.000  0.383  0.212  -0.13
S  0.500  0.262  0.446  -0.14
S  0.500  0.738  0.554  -0.14
S  0.500  0.762  0.054  -0.14
S  0.000  0.117  0.712  -0.13
S  0.000  0.883  0.288  -0.13
Np  0.500  0.893  0.816  3.59
Np  0.500  0.107  0.184  3.59
Np  0.500  0.607  0.316  3.59
Np  0.500  0.393  0.684  3.59
Li  0.000  0.000  0.500  -0.01
Li  0.000  0.500  0.000  -0.01

---

4.
## LiNp5S6 (GGA-PBE)

Data for a relaxed structure of LiNp5S6.

Computed properties:
symmetry: No. 12
final energy: -0.32999 Ha/atom

a b c (Å): 6.754 6.754 6.755
angles (deg): 99.60 99.60 119.91
Each line ends with the local moment (μB).
Sites, in units of the cell vectors:
S  0.413  0.083  0.248  -0.10
S  0.752  0.752  0.248  -0.10
S  0.248  0.248  0.752  -0.10
S  0.587  0.917  0.752  -0.10
S  0.083  0.413  0.248  -0.10
S  0.917  0.587  0.752  -0.10
Np  0.166  0.834  0.500  3.98
Np  0.834  0.166  0.500  3.98
Np  0.667  0.333  0.000  3.95
Np  0.333  0.667  0.000  3.95
Np  0.500  0.500  0.500  3.98
Li  0.000  0.000  0.000  0.00

---

5.
## LiNpS3 (GGA-PBE)

Data for a relaxed structure of LiNpS3.

Computed properties:
symmetry: No. 14
energy relative to the lowest polymorph listed for this composition: 6 meV/atom

a b c (Å): 6.844 6.507 9.320
angles (deg): 101.69 90.00 90.00
Each line ends with the local moment (μB).
Sites, in units of the cell vectors:
S  0.891  0.198  0.714  -0.13
S  0.566  0.385  0.917  -0.07
S  0.914  0.722  0.932  -0.11
S  0.391  0.802  0.786  -0.13
S  0.934  0.385  0.417  -0.07
S  0.086  0.278  0.068  -0.11
S  0.609  0.198  0.214  -0.13
S  0.414  0.278  0.568  -0.11
S  0.434  0.615  0.083  -0.07
S  0.109  0.802  0.286  -0.13
S  0.586  0.722  0.432  -0.11
S  0.066  0.615  0.583  -0.07
Np  0.308  0.439  0.320  3.29
Np  0.808  0.561  0.180  3.29
Np  0.192  0.439  0.820  3.29
Np  0.692  0.561  0.680  3.29
Li  0.721  0.079  0.460  0.00
Li  0.279  0.921  0.540  0.00
Li  0.779  0.079  0.960  0.00
Li  0.221  0.921  0.040  0.00

---

6.
## Li4NpS5 (GGA-PBE)

Data for a relaxed structure of Li4NpS5.

Computed properties:
symmetry: No. 87
final energy: -0.19538 Ha/atom

a b c (Å): 5.283 6.434 6.434
angles (deg): 80.29 65.76 65.76
Each line ends with the local moment (μB).
Sites, in units of the cell vectors:
Np  0.001  0.000  0.000  1.57
Li  0.390  0.410  0.813  0.00
Li  0.800  0.813  0.590  0.00
Li  0.613  0.590  0.187  0.00
Li  0.202  0.187  0.410  0.00
S  0.713  0.200  0.377  -0.08
S  0.501  0.000  0.000  -0.07
S  0.913  0.377  0.800  -0.08
S  0.289  0.800  0.623  -0.08
S  0.089  0.623  0.200  -0.08

---

7.
## Li2Np3S6 (GGA-PBE)

Data for a relaxed structure of Li2Np3S6.

Computed properties:
symmetry: No. 12
final energy: -0.27511 Ha/atom

a b c (Å): 6.877 6.873 6.493
angles (deg): 79.89 69.46 59.98
Each line ends with the local moment (μB).
Sites, in units of the cell vectors:
S  0.927  0.660  0.241  -0.10
S  0.073  0.340  0.759  -0.10
S  0.245  0.000  0.245  -0.10
S  0.755  0.000  0.755  -0.10
S  0.587  0.340  0.241  -0.10
S  0.413  0.660  0.759  -0.10
Np  0.664  0.672  0.000  3.68
Np  0.336  0.328  0.000  3.68
Np  0.000  0.000  0.000  3.68
Li  0.832  0.335  0.500  0.00
Li  0.168  0.665  0.500  0.00

---

8.
## LiNpS3 (GGA-PBE)

Data for a relaxed structure of LiNpS3.

Computed properties:
symmetry: No. 221
energy relative to the lowest polymorph listed for this composition: 205 meV/atom

a b c (Å): 5.121 5.121 5.121
angles (deg): 90.00 90.00 90.00
Each line ends with the local moment (μB).
Sites, in units of the cell vectors:
S  0.000  0.500  0.000  -0.16
S  0.500  0.000  0.000  -0.16
S  0.000  0.000  0.500  -0.16
Li  0.500  0.500  0.500  0.00
Np  0.000  0.000  0.000  2.58

---

9.
## Li7NpS6 (GGA-PBE)

Data for a relaxed structure of Li7NpS6.

Computed properties:
symmetry: No. 146
final energy: -0.18045 Ha/atom

a b c (Å): 6.972 6.972 7.402
angles (deg): 61.90 61.90 60.00
Each line ends with the local moment (μB).
Sites, in units of the cell vectors:
Np  0.998  0.998  0.005  2.56
S  0.780  0.071  0.761  -0.07
S  0.623  0.240  0.250  -0.07
S  0.389  0.780  0.761  -0.07
S  0.240  0.887  0.250  -0.07
S  0.071  0.389  0.761  -0.07
S  0.887  0.623  0.250  -0.07
Li  0.747  0.476  0.653  0.00
Li  0.658  0.658  0.026  0.00
Li  0.124  0.747  0.653  0.00
Li  0.476  0.124  0.653  0.00
Li  0.504  0.918  0.358  0.00
Li  0.918  0.220  0.358  0.00
Li  0.220  0.504  0.358  0.00

---

10.
## Li2NpS4 (GGA-PBE)

Data for a relaxed structure of Li2NpS4.

Computed properties:
symmetry: No. 74
final energy: -0.21309 Ha/atom

a b c (Å): 8.115 7.398 7.398
angles (deg): 62.62 56.74 56.74
Each line ends with the local moment (μB).
Sites, in units of the cell vectors:
S  0.284  0.250  0.750  -0.11
S  0.771  0.264  0.195  -0.10
S  0.715  0.250  0.750  -0.11
S  0.716  0.750  0.250  -0.11
S  0.285  0.750  0.250  -0.11
S  0.771  0.695  0.764  -0.10
S  0.229  0.305  0.236  -0.10
S  0.229  0.736  0.805  -0.10
Li  0.500  0.000  0.000  0.00
Li  0.084  0.166  0.666  0.00
Li  0.500  0.500  0.500  0.00
Li  0.916  0.834  0.334  0.00
Np  0.000  0.500  0.000  1.61
Np  0.500  0.500  0.000  1.61

---

11.
## LiNp2S6 (GGA-PBE)

Data for a relaxed structure of LiNp2S6.

Computed properties:
symmetry: No. 12
final energy: -0.24685 Ha/atom

a b c (Å): 5.182 7.016 7.687
angles (deg): 69.31 70.30 68.33
Each line ends with the local moment (μB).
Sites, in units of the cell vectors:
S  0.356  0.706  0.582  -0.22
S  0.971  0.839  0.219  -0.14
S  0.301  0.330  0.068  -0.14
S  0.029  0.161  0.781  -0.14
S  0.644  0.294  0.418  -0.22
S  0.699  0.670  0.932  -0.14
Np  0.822  0.255  0.100  2.17
Np  0.178  0.745  0.900  2.17
Li  0.000  0.500  0.500  0.00

---

12.
## LiNpS3 (GGA-PBE)

Data for a relaxed structure of LiNpS3.

Computed properties:
symmetry: No. 11
energy relative to the lowest polymorph listed for this composition: 0 meV/atom

a b c (Å): 3.741 7.213 8.176
angles (deg): 114.49 90.00 90.00
Each line ends with the local moment (μB).
Sites, in units of the cell vectors:
S  0.250  0.294  0.351  -0.15
S  0.750  0.706  0.649  -0.15
S  0.750  0.196  0.001  -0.16
S  0.250  0.804  0.999  -0.16
S  0.750  0.194  0.642  -0.14
S  0.250  0.806  0.358  -0.14
Np  0.250  0.987  0.752  2.74
Np  0.750  0.013  0.248  2.74
Li  0.750  0.532  0.306  0.00
Li  0.250  0.468  0.694  0.00

---

13.
## LiNpS2 (GGA-PBE)

Data for a relaxed structure of LiNpS2.

Computed properties:
symmetry: No. 14
final energy: -0.26190 Ha/atom

a b c (Å): 6.763 6.626 7.040
angles (deg): 90.00 90.00 104.77
Each line ends with the local moment (μB).
Sites, in units of the cell vectors:
Np  0.202  0.810  0.063  3.90
Np  0.798  0.190  0.937  3.90
Np  0.798  0.690  0.563  3.90
Np  0.202  0.310  0.437  3.90
Li  0.649  0.115  0.367  0.01
Li  0.649  0.615  0.133  0.01
Li  0.351  0.385  0.867  0.01
Li  0.351  0.885  0.633  0.01
S  0.073  0.020  0.745  -0.10
S  0.927  0.480  0.245  -0.10
S  0.073  0.520  0.755  -0.10
S  0.927  0.980  0.255  -0.10
S  0.439  0.714  0.366  -0.09
S  0.439  0.214  0.134  -0.09
S  0.561  0.286  0.634  -0.09
S  0.561  0.786  0.866  -0.09

---

14.
## LiNpS2 (GGA-PBE)

Data for a relaxed structure of LiNpS2.

Computed properties:
symmetry: No. 160
final energy: -0.26052 Ha/atom

a b c (Å): 3.898 3.898 6.900
angles (deg): 73.59 73.59 60.00
Each line ends with the local moment (μB).
Sites, in units of the cell vectors:
S  0.084  0.084  0.749  -0.08
S  0.258  0.258  0.227  -0.10
Li  0.489  0.489  0.532  0.00
Np  0.669  0.669  0.992  3.86

---

15.
## Li5Np3S8 (GGA-PBE)

Data for a relaxed structure of Li5Np3S8.

Computed properties:
symmetry: No. 166
final energy: -0.23636 Ha/atom

a b c (Å): 7.763 7.763 7.564
angles (deg): 59.13 59.13 60.00
Each line ends with the local moment (μB).
Sites, in units of the cell vectors:
S  0.249  0.249  0.745  -0.10
S  0.244  0.751  0.255  -0.10
S  0.751  0.751  0.255  -0.10
S  0.249  0.756  0.745  -0.10
S  0.751  0.244  0.255  -0.10
S  0.748  0.748  0.755  -0.09
S  0.252  0.252  0.245  -0.09
S  0.756  0.249  0.745  -0.10
Np  0.500  0.000  0.500  3.48
Np  0.000  0.500  0.500  3.48
Np  0.000  0.000  0.500  3.48
Li  0.000  0.000  0.000  0.00
Li  0.500  0.500  0.000  0.00
Li  0.000  0.500  0.000  0.00
Li  0.500  0.000  0.000  0.00
Li  0.500  0.500  0.500  0.00

---

16.
## LiNp3S4 (GGA-PBE)

Data for a relaxed structure of LiNp3S4.

Computed properties:
symmetry: No. 10
final energy: -0.31134 Ha/atom

a b c (Å): 3.864 6.774 6.721
angles (deg): 70.58 90.00 90.00
Each line ends with the local moment (μB).
Sites, in units of the cell vectors:
S  0.500  0.747  0.247  -0.02
S  0.000  0.745  0.757  -0.04
S  0.000  0.255  0.243  -0.04
S  0.500  0.253  0.753  -0.02
Np  0.000  0.000  0.000  3.77
Np  0.000  0.500  0.500  -3.64
Np  0.500  0.000  0.500  3.81
Li  0.500  0.500  0.000  0.00

---

17.
## LiNp2S4 (GGA-PBE)

Data for a relaxed structure of LiNp2S4.

Computed properties:
symmetry: No. 12
energy relative to the lowest polymorph listed for this composition: 0 meV/atom

a b c (Å): 3.950 6.900 7.389
angles (deg): 118.17 105.50 90.00
Each line ends with the local moment (μB).
Sites, in units of the cell vectors:
S  0.871  0.177  0.742  -0.11
S  0.360  0.719  0.720  -0.11
S  0.640  0.281  0.280  -0.11
S  0.129  0.823  0.258  -0.11
Li  0.000  0.000  0.000  0.00
Np  0.270  0.267  0.539  3.58
Np  0.730  0.733  0.461  3.58

---

18.
## Li5NpS5 (GGA-PBE)

Data for a relaxed structure of Li5NpS5.

Computed properties:
symmetry: No. 12
final energy: -0.19016 Ha/atom

a b c (Å): 5.218 6.587 7.351
angles (deg): 108.10 90.00 113.33
Each line ends with the local moment (μB).
Sites, in units of the cell vectors:
S  0.833  0.665  0.672  -0.09
S  0.167  0.335  0.328  -0.09
S  0.500  0.000  0.000  -0.08
S  0.850  0.700  0.181  -0.07
S  0.150  0.300  0.819  -0.07
Li  0.000  0.000  0.500  0.00
Li  0.311  0.622  0.132  0.00
Li  0.692  0.383  0.319  -0.01
Li  0.308  0.617  0.681  -0.01
Li  0.689  0.378  0.868  0.00
Np  0.000  0.000  0.000  2.51

---

19.
## Li3Np3S8 (GGA-PBE)

Data for a relaxed structure of Li3Np3S8.

Computed properties:
symmetry: No. 166
final energy: -0.24952 Ha/atom

a b c (Å): 7.600 7.600 7.600
angles (deg): 63.20 63.20 63.20
Each line ends with the local moment (μB).
Sites, in units of the cell vectors:
Li  0.000  0.000  0.000  0.00
Li  0.387  0.387  0.387  0.00
Li  0.613  0.613  0.613  0.00
Np  0.000  0.500  0.000  3.04
Np  0.000  0.000  0.500  3.04
Np  0.500  0.000  0.000  3.04
S  0.755  0.755  0.755  -0.11
S  0.222  0.756  0.756  -0.13
S  0.778  0.244  0.244  -0.13
S  0.244  0.244  0.778  -0.13
S  0.245  0.245  0.245  -0.11
S  0.756  0.756  0.222  -0.13
S  0.756  0.222  0.756  -0.13
S  0.244  0.778  0.244  -0.13

---

20.
## LiNp6S12 (GGA-PBE)

Data for a relaxed structure of LiNp6S12.

Computed properties:
symmetry: No. 148
final energy: -0.29492 Ha/atom

a b c (Å): 7.772 7.772 7.772
angles (deg): 93.09 93.09 93.09
Each line ends with the local moment (μB).
Sites, in units of the cell vectors:
S  0.545  0.413  0.188  -0.15
S  0.080  0.928  0.685  -0.13
S  0.812  0.455  0.587  -0.15
S  0.188  0.545  0.413  -0.15
S  0.587  0.812  0.455  -0.15
S  0.315  0.920  0.072  -0.13
S  0.413  0.188  0.545  -0.15
S  0.455  0.587  0.812  -0.15
S  0.685  0.080  0.928  -0.13
S  0.920  0.072  0.315  -0.13
S  0.928  0.685  0.080  -0.13
S  0.072  0.315  0.920  -0.13
Np  0.261  0.576  0.085  3.39
Np  0.915  0.739  0.424  3.39
Np  0.739  0.424  0.915  3.39
Np  0.424  0.915  0.739  3.39
Np  0.085  0.261  0.576  3.39
Np  0.576  0.085  0.261  3.39
Li  0.000  0.000  0.000  -0.01

---

no.,volume (Å³/atom)
1,16.78
2,19.88
3,20.77
4,20.99
5,20.32
6,18.18
7,22.62
8,26.86
9,18.68
10,21.60
11,26.23
12,20.08
13,19.07
14,21.46
15,19.88
16,20.74
17,24.17
18,19.85
19,23.74
20,24.59